Entry 1:
A PBEsol-optimized structure of BeCN2O. Source: the Alexandria database, functional meta-GGA SCAN.

Output
total energy = -0.4114 Ry/atom
symmetry = P4/mmm (123)
ΔE_f (raw) = 2.26 eV/atom
DOS at the Fermi energy = 2.3 states/eV per cell

Unit cell a=3.385 b=3.385 c=3.429 alpha=90.00 beta=90.00 gamma=90.00
Positions (direct):
Be (0.000, 0.000, 0.000)
C (0.500, 0.500, 0.500)
O (0.000, 0.000, 0.500)
N (0.000, 0.500, 0.000)
N (0.500, 0.000, 0.000)

=====

Entry 2:
A PBEsol-optimized structure of Be2SiCN. Source: the Alexandria database, functional meta-GGA SCAN.

Output
total energy = -0.5062 Ry/atom
symmetry = P4/mmm (123)
ΔE_f (raw) = 0.74 eV/atom
DOS at the Fermi energy = 0.9 states/eV per cell

Unit cell a=3.049 b=3.049 c=7.684 alpha=90.00 beta=90.00 gamma=90.00
Positions (direct):
Be (0.000, 0.500, 0.000)
Be (0.500, 0.000, 0.000)
Si (0.500, 0.500, 0.500)
C (0.000, 0.000, 0.000)
N (0.000, 0.000, 0.500)

=====

Entry 3:
A PBEsol-optimized structure of Na2BeC. Source: the Alexandria database, functional meta-GGA SCAN.

Output
total energy = -0.3994 Ry/atom
symmetry = I4_1/amd (141)
formation energy from the elements = 287 meV/atom
DOS at the Fermi energy = 2.1 states/eV per cell
energy relative to the lowest polymorph listed for this composition = 0 meV per atom

Unit cell a=3.305 b=7.196 c=7.196 alpha=86.98 beta=76.72 gamma=76.72
Positions (direct):
Na (0.875, 0.250, 0.250)
Na (0.375, 0.750, 0.750)
Na (0.875, 0.250, 0.750)
Na (0.875, 0.750, 0.250)
C (0.000, 0.000, 0.000)
C (0.750, 0.500, 0.500)
Be (0.500, 0.000, 0.000)
Be (0.250, 0.500, 0.500)

=====

Entry 4:
A PBEsol-optimized structure of Na2BeC. Source: the Alexandria database, functional meta-GGA SCAN.

Output
total energy = -0.3068 Ry/atom
symmetry = Fm-3m (225)
formation energy from the elements = 1546 meV/atom
DOS at the Fermi energy = 1.3 states/eV per cell
energy relative to the lowest polymorph listed for this composition = 1259 meV per atom

Unit cell a=4.339 b=4.339 c=4.339 alpha=60.00 beta=60.00 gamma=60.00
Positions (direct):
Na (0.250, 0.250, 0.250)
Na (0.750, 0.750, 0.750)
C (0.500, 0.500, 0.500)
Be (0.000, 0.000, 0.000)